! NiHgSe2 SCAN single point on PBEsol structure; values from VASP
&SYSTEM
  ibrav = 0, nat = 4, ntyp = 3
/
ATOMIC_SPECIES
Ni 58.69 Ni.upf
Hg 200.59 Hg.upf
Se 78.96 Se.upf
CELL_PARAMETERS angstrom
3.952 -1.732 0.000
3.952 1.732 0.000
-1.727 0.000 6.072
ATOMIC_POSITIONS angstrom
Ni 0.000 0.000 0.000
Hg 3.088 0.000 3.036
Se 1.290 0.000 4.859
Se 4.886 0.000 1.213
! density = 8.3 g/cm³
! symmetry = C2/m
! energy relative to the elements, uncorrected = -5.10 kcal/mol of atoms